No. 1
DyTmTlTe3: relaxed, PBE.

## Properties
total DFT energy (no corrections): -106.144 eV/cell
energy relative to the lowest polymorph listed for this composition: 8 kJ/mol of formula units

a = 4.364 Å, b = 15.303 Å, c = 11.954 Å
α = 90.00°, β = 90.00°, γ = 90.00°
Space group Cmcm (No. 63)
Symmetry-distinct sites (fractional):
Dy  0.000  0.070  0.250 (multiplicity 4)
Tm  0.000  0.500  0.000 (multiplicity 4)
Tl  0.000  0.247  0.750 (multiplicity 4)
Te  0.000  0.142  0.022 (multiplicity 8)
Te  0.000  0.438  0.250 (multiplicity 4)

---

No. 2
Sr2ReGeN6: relaxed, PBE.

## Properties
total DFT energy (no corrections): -413.331 eV/cell

a = 5.6675 Å, b = 5.6675 Å, c = 27.7765 Å
α = 90.00°, β = 90.00°, γ = 120.00°
Space group R-3m (No. 166, hexagonal axes)
Symmetry-distinct sites (fractional):
Sr  0.0000  0.0000  0.1286 (multiplicity 6)
Sr  0.0000  0.0000  0.2829 (multiplicity 6)
Re  0.0000  0.0000  0.0000 (multiplicity 3)
Re  0.0000  0.0000  0.5000 (multiplicity 3)
Ge  0.0000  0.0000  0.4045 (multiplicity 6)
N  0.0069  0.5035  0.7072 (multiplicity 18)
N  0.0119  0.5059  0.1232 (multiplicity 18)